Th2SbOs | PBE | optimized geometry Values from VASP.

Results
- Symmetry: P2_1/m, No. 11

Geometry as Quantum ESPRESSO input:
```
&SYSTEM
  ibrav = 0, nat = 8, ntyp = 3
/
ATOMIC_SPECIES
Th 232.04 Th.upf
Sb 121.76 Sb.upf
Os 190.23 Os.upf
ATOMIC_POSITIONS crystal
Th 0.163 0.250 0.392
Th 0.254 0.750 0.045
Th 0.746 0.250 0.955
Th 0.837 0.750 0.608
Sb 0.377 0.750 0.700
Sb 0.623 0.250 0.300
Os 0.111 0.250 0.800
Os 0.889 0.750 0.200
CELL_PARAMETERS angstrom
6.333 0.000 0.000
0.000 4.200 0.000
-2.907 0.000 8.240
```

=====

Th2Sb2Os5 | PBE | optimized geometry Values from VASP.

Results
- Symmetry: R3m, No. 160

Geometry as Quantum ESPRESSO input:
```
&SYSTEM
  ibrav = 0, nat = 9, ntyp = 3
/
ATOMIC_SPECIES
Th 232.04 Th.upf
Sb 121.76 Sb.upf
Os 190.23 Os.upf
ATOMIC_POSITIONS crystal
Th 0.000 0.000 0.000
Th 0.187 0.187 0.187
Sb 0.413 0.413 0.413
Sb 0.594 0.594 0.594
Os 0.123 0.123 0.123
Os 0.249 0.249 0.249
Os 0.353 0.353 0.353
Os 0.474 0.474 0.474
Os 0.658 0.658 0.658
CELL_PARAMETERS angstrom
2.232 1.289 13.785
-2.232 1.289 13.785
0.000 -2.577 13.785
```

=====

TmSb2Os | PBE | optimized geometry Values from VASP.

Results
- Symmetry: I-42d, No. 122

Geometry as Quantum ESPRESSO input:
```
&SYSTEM
  ibrav = 0, nat = 8, ntyp = 3
/
ATOMIC_SPECIES
Tm 168.93 Tm.upf
Sb 121.76 Sb.upf
Os 190.23 Os.upf
ATOMIC_POSITIONS crystal
Tm 0.000 0.000 0.000
Tm 0.750 0.250 0.500
Sb 0.159 0.125 0.534
Sb 0.375 0.841 0.966
Sb 0.591 0.625 0.466
Sb 0.875 0.409 0.034
Os 0.250 0.750 0.500
Os 0.500 0.500 0.000
CELL_PARAMETERS angstrom
-2.199 2.199 9.805
2.199 -2.199 9.805
2.199 2.199 -9.805
```

=====

Y3Tm3Sb2Os | PBE | optimized geometry Values from VASP.

Results
- Offset from the most stable computed form: 0.0 meV/atom
- Symmetry: P-62m, No. 189

Geometry as Quantum ESPRESSO input:
```
&SYSTEM
  ibrav = 0, nat = 9, ntyp = 4
/
ATOMIC_SPECIES
Y 88.91 Y.upf
Tm 168.93 Tm.upf
Sb 121.76 Sb.upf
Os 190.23 Os.upf
ATOMIC_POSITIONS crystal
Y 0.000 0.605 0.000
Y 0.395 0.395 0.000
Y 0.605 0.000 0.000
Tm 0.000 0.234 0.500
Tm 0.234 0.000 0.500
Tm 0.766 0.766 0.500
Sb 0.333 0.667 0.500
Sb 0.667 0.333 0.500
Os 0.000 0.000 0.000
CELL_PARAMETERS angstrom
8.127 0.000 0.000
-4.063 7.038 0.000
0.000 0.000 4.211
```

=====

Y3Tm3Sb2Os | PBE | optimized geometry Values from VASP.

Results
- Offset from the most stable computed form: 82.8 meV/atom
- Symmetry: P-62m, No. 189

Geometry as Quantum ESPRESSO input:
```
&SYSTEM
  ibrav = 0, nat = 9, ntyp = 4
/
ATOMIC_SPECIES
Y 88.91 Y.upf
Tm 168.93 Tm.upf
Sb 121.76 Sb.upf
Os 190.23 Os.upf
ATOMIC_POSITIONS crystal
Y 0.000 0.241 0.000
Y 0.241 0.000 0.000
Y 0.759 0.759 0.000
Tm 0.000 0.609 0.500
Tm 0.391 0.391 0.500
Tm 0.609 0.000 0.500
Sb 0.333 0.667 0.000
Sb 0.667 0.333 0.000
Os 0.000 0.000 0.500
CELL_PARAMETERS angstrom
8.160 0.000 0.000
-4.080 7.067 0.000
0.000 0.000 4.190
```

=====

U3Sb2Os4 | PBE | optimized geometry Values from VASP.

Results
- Symmetry: P-6, No. 174

Geometry as Quantum ESPRESSO input:
```
&SYSTEM
  ibrav = 0, nat = 9, ntyp = 3
/
ATOMIC_SPECIES
U 238.03 U.upf
Sb 121.76 Sb.upf
Os 190.23 Os.upf
ATOMIC_POSITIONS crystal
U 0.146 0.790 0.000
U 0.210 0.355 0.000
U 0.645 0.854 0.000
Sb 0.000 0.000 0.500
Sb 0.667 0.333 0.000
Os 0.333 0.667 0.500
Os 0.426 0.084 0.500
Os 0.658 0.574 0.500
Os 0.916 0.342 0.500
CELL_PARAMETERS angstrom
6.922 0.000 0.000
-3.461 5.994 0.000
0.000 0.000 4.377
```

=====

Y3Zr3Sb2Os | PBE | optimized geometry Values from VASP.

Results
- Offset from the most stable computed form: 213.2 meV/atom
- Symmetry: P-62m, No. 189

Geometry as Quantum ESPRESSO input:
```
&SYSTEM
  ibrav = 0, nat = 9, ntyp = 4
/
ATOMIC_SPECIES
Y 88.91 Y.upf
Zr 91.22 Zr.upf
Sb 121.76 Sb.upf
Os 190.23 Os.upf
ATOMIC_POSITIONS crystal
Y 0.000 0.249 0.000
Y 0.249 0.000 0.000
Y 0.751 0.751 0.000
Zr 0.000 0.603 0.500
Zr 0.397 0.397 0.500
Zr 0.603 0.000 0.500
Sb 0.333 0.667 0.000
Sb 0.667 0.333 0.000
Os 0.000 0.000 0.500
CELL_PARAMETERS angstrom
8.068 0.000 0.000
-4.034 6.987 0.000
0.000 0.000 3.848
```

=====

Y3Zr3Sb2Os | PBE | optimized geometry Values from VASP.

Results
- Offset from the most stable computed form: 0.0 meV/atom
- Symmetry: P-62m, No. 189

Geometry as Quantum ESPRESSO input:
```
&SYSTEM
  ibrav = 0, nat = 9, ntyp = 4
/
ATOMIC_SPECIES
Y 88.91 Y.upf
Zr 91.22 Zr.upf
Sb 121.76 Sb.upf
Os 190.23 Os.upf
ATOMIC_POSITIONS crystal
Y 0.000 0.599 0.000
Y 0.401 0.401 0.000
Y 0.599 0.000 0.000
Zr 0.000 0.234 0.500
Zr 0.234 0.000 0.500
Zr 0.766 0.766 0.500
Sb 0.333 0.667 0.500
Sb 0.667 0.333 0.500
Os 0.000 0.000 0.000
CELL_PARAMETERS angstrom
7.978 0.000 0.000
-3.989 6.909 0.000
0.000 0.000 4.036
```

=====

Number 1: E_tot -8.18 eV/atom, magnetic moment 0.02 Bohr magnetons per cell. Number 2: E_tot -8.06 eV/atom, magnetic moment 0.01 Bohr magnetons per cell. Number 3: E_tot -5.80 eV/atom, magnetic moment 0.01 Bohr magnetons per cell. Number 4: E_tot -6.52 eV/atom, magnetic moment 0.04 Bohr magnetons per cell. Number 5: E_tot -6.44 eV/atom, magnetic moment 0.01 Bohr magnetons per cell. Number 6: E_tot -9.57 eV/atom, magnetic moment 5.62 Bohr magnetons per cell. Number 7: E_tot -7.60 eV/atom, magnetic moment 0.06 Bohr magnetons per cell. Number 8: E_tot -7.81 eV/atom, magnetic moment 0.87 Bohr magnetons per cell.